# 1
## BaNd2CoO5 (PBE with a Hubbard U)

Data for BaNd2CoO5 after structural relaxation.

The volume comes out at 14.9 Å³/atom. The calculated total energy is -130.72 eV per cell.

The space group is Immm (No. 71) and the conventional cell measures 3.813, 5.950 and 11.817 Å, with angles of 90.00, 90.00 and 90.00 degrees. The inequivalent atoms are Ba at (0.000, 0.000, 0.000), Nd at (0.000, 0.500, 0.203), Co at (0.000, 0.000, 0.500), O at (0.000, 0.244, 0.354) and O at (0.000, 0.500, 0.000).

# 2
## Ba2Nd2Co4O11 (PBE with a Hubbard U)

Data for Ba2Nd2Co4O11 after structural relaxation.

The volume comes out at 12.4 Å³/atom. The calculated total energy is -125.33 eV per cell.

The space group is Pmmm (No. 47) and the conventional cell measures 3.910, 7.663 and 7.834 Å, with angles of 90.00, 90.00 and 90.00 degrees. The inequivalent atoms are Ba at (0.000, 0.000, 0.249), Nd at (0.000, 0.500, 0.231), Co at (0.500, 0.252, 0.000), Co at (0.500, 0.256, 0.500), O at (0.000, 0.269, 0.000), O at (0.000, 0.311, 0.500), O at (0.500, 0.000, 0.000), O at (0.500, 0.000, 0.500), O at (0.500, 0.293, 0.270) and O at (0.500, 0.500, 0.000).

# 3
## BaNdCo2O6 (PBE with a Hubbard U)

Data for BaNdCo2O6 after structural relaxation.

The volume comes out at 11.6 Å³/atom. The calculated total energy is -64.94 eV per cell.

The space group is P4/mmm (No. 123) and the conventional cell measures 3.920, 3.920 and 7.538 Å, with angles of 90.00, 90.00 and 90.00 degrees. The inequivalent atoms are Ba at (0.000, 0.000, 0.000), Nd at (0.000, 0.000, 0.500), Co at (0.500, 0.500, 0.253), O at (0.000, 0.500, 0.273), O at (0.500, 0.500, 0.000) and O at (0.500, 0.500, 0.500).

What did the second record say?
## Ba2Nd2Co4O11 (PBE with a Hubbard U)

Data for Ba2Nd2Co4O11 after structural relaxation.

The volume comes out at 12.4 Å³/atom. The calculated total energy is -125.33 eV per cell.

The space group is Pmmm (No. 47) and the conventional cell measures 3.910, 7.663 and 7.834 Å, with angles of 90.00, 90.00 and 90.00 degrees. The inequivalent atoms are Ba at (0.000, 0.000, 0.249), Nd at (0.000, 0.500, 0.231), Co at (0.500, 0.252, 0.000), Co at (0.500, 0.256, 0.500), O at (0.000, 0.269, 0.000), O at (0.000, 0.311, 0.500), O at (0.500, 0.000, 0.000), O at (0.500, 0.000, 0.500), O at (0.500, 0.293, 0.270) and O at (0.500, 0.500, 0.000).

Q: Among the records above, which one has the highest calculated total energy?
A: BaNdCo2O6